# 1
A plane-wave DFT calculation with PBE was carried out for a geometry-optimized LaY3Er6Tm2 structure.

As for the formation energy from the elements: 0.028 eV per atom. As for the crystal system: monoclinic.

The space group is C2/m (No. 12) and the conventional cell measures 6.133, 10.614 and 11.746 Å, with angles of 90.00, 99.99 and 90.00 degrees. The inequivalent atoms are La at (0.000, 0.000, 0.000), Y at (0.000, 0.167, 0.500), Y at (0.000, 0.500, 0.500), Er at (0.248, 0.333, 0.749), Er at (0.249, 0.500, 0.251) and Tm at (0.000, 0.333, 0.000).


# 2
A plane-wave DFT calculation with PBE was carried out for a geometry-optimized La5Y2ErTm structure.

As for the formation energy from the elements: 0.311 eV per atom. As for the crystal system: tetragonal.

The space group is I4/mcm (No. 140) and the conventional cell measures 8.201, 8.201 and 19.190 Å, with angles of 90.00, 90.00 and 90.00 degrees. The inequivalent atoms are La at (0.000, 0.000, 0.000), La at (0.217, 0.283, 0.138), Y at (0.128, 0.372, 0.500), Er at (0.000, 0.000, 0.250) and Tm at (0.000, 0.500, 0.250).


# 3
A plane-wave DFT calculation with PBE was carried out for a geometry-optimized La2YEr3Tm6 structure.

As for the formation energy from the elements: 0.030 eV per atom. As for the crystal system: monoclinic.

The space group is C2/m (No. 12) and the conventional cell measures 6.146, 10.638 and 11.710 Å, with angles of 90.00, 100.04 and 90.00 degrees. The inequivalent atoms are La at (0.000, 0.167, 0.000), Y at (0.000, 0.500, 0.000), Er at (0.000, 0.000, 0.500), Er at (0.000, 0.333, 0.500), Tm at (0.247, 0.500, 0.744) and Tm at (0.248, 0.166, 0.745).